Entry 1:
# Ba2NaRh

Ba2NaRh after structural relaxation (PBE, Alexandria).

The formation energy is 0.03 eV/atom. Its offset from the most stable computed form is 134.5 meV/atom. For the total DFT energy (no corrections), the calculation gives -3.1007 eV per atom. As for the size of the total moment: 0.000 μB/atom. The value obtained for the theoretical density is 5.06 g cm⁻³. For the volume, the calculation gives 526.1 Å³/cell.

Cell and atoms, written as POSCAR:
```
Ba2NaRh
1.0
8.073 0.000 0.000
0.000 8.073 0.000
0.000 0.000 8.073
Ba Na Rh
8 4 4
Cartesian
2.018 2.018 2.018 Ba
2.018 2.018 6.055 Ba
2.018 6.055 2.018 Ba
2.018 6.055 6.055 Ba
6.055 2.018 2.018 Ba
6.055 2.018 6.055 Ba
6.055 6.055 2.018 Ba
6.055 6.055 6.055 Ba
0.000 0.000 0.000 Na
0.000 4.036 4.036 Na
4.036 0.000 4.036 Na
4.036 4.036 0.000 Na
0.000 0.000 4.036 Rh
0.000 4.036 0.000 Rh
4.036 0.000 0.000 Rh
4.036 4.036 4.036 Rh
```

***

Entry 2:
# Ba4Na3Rh

Ba4Na3Rh after structural relaxation (PBE, Alexandria).

The formation energy is 0.00 eV/atom. For the total DFT energy (no corrections), the calculation gives -2.3751 eV per atom. As for the size of the total moment: 0.000 μB/atom. The value obtained for the theoretical density is 3.19 g cm⁻³. For the volume, the calculation gives 1501.6 Å³/cell.

Cell and atoms, written as POSCAR:
```
Ba4Na3Rh
1.0
12.190 0.000 0.000
0.000 12.375 0.000
0.000 0.000 9.954
Ba Na Rh
16 12 4
Cartesian
1.378 3.094 0.484 Ba
1.423 9.281 2.583 Ba
2.242 1.002 4.812 Ba
2.242 5.185 4.812 Ba
3.853 7.190 9.789 Ba
3.853 11.373 9.789 Ba
4.672 3.094 7.560 Ba
4.717 9.281 5.461 Ba
7.473 3.094 4.493 Ba
7.518 9.281 2.394 Ba
8.337 1.002 0.165 Ba
8.337 5.185 0.165 Ba
9.948 7.190 5.142 Ba
9.948 11.373 5.142 Ba
10.767 3.094 7.371 Ba
10.812 9.281 9.470 Ba
0.582 6.380 8.316 Na
0.582 12.183 8.316 Na
1.191 9.281 6.668 Na
4.904 3.094 1.691 Na
5.513 0.192 3.339 Na
5.513 5.995 3.339 Na
6.677 6.380 6.615 Na
6.677 12.183 6.615 Na
7.286 9.281 8.263 Na
10.999 3.094 3.286 Na
11.608 0.192 1.638 Na
11.608 5.995 1.638 Na
1.641 9.281 9.614 Rh
4.454 3.094 4.637 Rh
7.736 9.281 5.317 Rh
10.549 3.094 0.340 Rh
```

***

Entry 3:
# Ba5Na2Rh

Ba5Na2Rh after structural relaxation (PBE, Alexandria).

The formation energy is -0.09 eV/atom. For the total DFT energy (no corrections), the calculation gives -2.5375 eV per atom. As for the size of the total moment: 0.000 μB/atom. The value obtained for the theoretical density is 3.31 g cm⁻³. For the volume, the calculation gives 1678.4 Å³/cell.

Cell and atoms, written as POSCAR:
```
Ba5Na2Rh
1.0
11.125 0.000 0.000
0.000 8.672 0.000
0.000 0.000 17.399
Ba Na Rh
20 8 4
Cartesian
0.000 0.000 0.000 Ba
0.000 4.336 0.000 Ba
0.628 2.168 3.615 Ba
1.611 4.346 10.562 Ba
1.611 8.662 10.562 Ba
2.407 6.504 6.751 Ba
3.155 2.168 15.450 Ba
3.952 0.010 1.862 Ba
3.952 4.326 1.862 Ba
4.934 6.504 12.314 Ba
5.562 0.000 8.699 Ba
5.562 4.336 8.699 Ba
6.191 2.168 5.084 Ba
7.173 4.346 15.536 Ba
7.173 8.662 15.536 Ba
7.970 6.504 1.948 Ba
8.717 2.168 10.648 Ba
9.514 0.010 6.837 Ba
9.514 4.326 6.837 Ba
10.496 6.504 13.784 Ba
0.514 6.504 3.421 Na
2.299 2.168 7.167 Na
3.264 6.504 15.866 Na
5.048 2.168 12.120 Na
6.077 6.504 5.279 Na
7.861 2.168 1.532 Na
8.826 6.504 10.232 Na
10.610 2.168 13.978 Na
2.048 2.168 0.966 Rh
3.514 6.504 9.665 Rh
7.610 2.168 7.733 Rh
9.077 6.504 16.433 Rh
```

***

Entry 4:
# Ba6Na2Rh

Ba6Na2Rh after structural relaxation (PBE, Alexandria).

The formation energy is -0.11 eV/atom. For the total DFT energy (no corrections), the calculation gives -2.5038 eV per atom. As for the size of the total moment: 0.000 μB/atom. The value obtained for the theoretical density is 3.33 g cm⁻³. For the volume, the calculation gives 485.4 Å³/cell.

Cell and atoms, written as POSCAR:
```
Ba6Na2Rh
1.0
-4.415 4.415 6.226
4.415 -4.415 6.226
4.415 4.415 -6.226
Ba Na Rh
6 2 1
Cartesian
0.000 0.000 3.040 Ba
2.151 2.151 0.000 Ba
2.264 -2.264 6.226 Ba
-2.264 2.264 6.226 Ba
0.000 0.000 9.413 Ba
2.264 2.264 6.226 Ba
4.415 0.000 3.113 Na
0.000 4.415 3.113 Na
0.000 0.000 0.000 Rh
```

***

Entry 5:
# Ba6Na2Rh3

Ba6Na2Rh3 after structural relaxation (PBE, Alexandria).

The formation energy is -0.07 eV/atom. For the total DFT energy (no corrections), the calculation gives -3.3671 eV per atom. As for the size of the total moment: 0.000 μB/atom. The value obtained for the theoretical density is 3.85 g cm⁻³. For the volume, the calculation gives 508.8 Å³/cell.

Cell and atoms, written as POSCAR:
```
Ba6Na2Rh3
1.0
3.930 -6.815 0.000
3.930 6.815 0.000
-2.604 0.000 9.498
Ba Na Rh
6 2 3
Cartesian
0.002 2.247 7.851 Ba
1.280 0.000 1.663 Ba
0.002 -2.247 7.851 Ba
5.255 2.247 1.647 Ba
3.977 0.000 7.835 Ba
5.255 -2.247 1.647 Ba
2.628 2.278 4.749 Na
2.628 -2.278 4.749 Na
3.930 4.545 0.000 Rh
3.930 0.000 0.000 Rh
3.930 -4.545 0.000 Rh
```

***

Entry 6:
# Ba8Na2Rh3

Ba8Na2Rh3 after structural relaxation (PBE, Alexandria).

The formation energy is -0.09 eV/atom. For the total DFT energy (no corrections), the calculation gives -3.1745 eV per atom. As for the size of the total moment: 0.001 μB/atom. The value obtained for the theoretical density is 3.65 g cm⁻³. For the volume, the calculation gives 660.9 Å³/cell.

Cell and atoms, written as POSCAR:
```
Ba8Na2Rh3
1.0
9.799 -4.520 0.000
9.799 4.520 0.000
-2.607 0.000 7.461
Ba Na Rh
8 2 3
Cartesian
-0.135 0.000 5.538 Ba
6.115 2.316 5.657 Ba
10.876 2.316 1.804 Ba
7.098 0.000 2.060 Ba
9.893 0.000 5.400 Ba
6.115 -2.316 5.657 Ba
10.876 -2.316 1.804 Ba
17.126 0.000 1.922 Ba
3.469 0.000 4.004 Na
13.522 0.000 3.456 Na
0.000 0.000 0.000 Rh
8.495 2.155 3.730 Rh
8.495 -2.155 3.730 Rh
```